[1]
Ac4PrHo: optimized geometry, PBE.

Cell lengths 10.1263, 10.1263, 10.1263 Å; angles 90.00, 90.00, 90.00 degrees
Closest atoms and distances in Å follow each position.
Space group F-43m (No. 216)
Asymmetric unit:
1 Ac 0.1243 0.1243 0.1243 x16  6 Ac 3.56-3.60
2 Pr 0.0000 0.0000 0.5000 x4  12 Ac 4.20, 4 Ho 4.38
3 Ho 0.2500 0.2500 0.7500 x4  12 Ac 4.20, 4 Pr 4.38

* total magnetic moment: 0.0 μB per cell
* DFT total energy: -3.948 eV/atom
* E above lowest polymorph: 311 meV per atom
* energy relative to the elements: 0.35 eV/atom
* D(E_F): 37.5 states/eV/cell


[2]
Ac7Pr12Ho: optimized geometry, PBE.

Cell lengths 12.2396, 12.2396, 12.2396 Å; angles 90.00, 90.00, 90.00 degrees
Closest atoms and distances in Å follow each position.
Space group Im-3 (No. 204)
Asymmetric unit:
1 Ac 0.0000 0.0000 0.5000 x6  8 Pr 3.65-3.83
2 Ac 0.2500 0.2500 0.2500 x8  6 Pr 3.19
3 Pr 0.0000 0.3240 0.2412 x24  2 Ac 3.19
4 Ho 0.0000 0.0000 0.0000 x2  12 Pr 4.94, 8 Ac 5.30

* total magnetic moment: 0.0 μB per cell
* DFT total energy: -3.747 eV/atom
* energy relative to the elements: 0.79 eV/atom
* D(E_F): 61.2 states/eV/cell


[3]
Ac7Pr2Ho2: optimized geometry, PBE.

Cell lengths 12.9000, 7.2660, 10.1154 Å; angles 90.00, 90.06, 90.00 degrees
Closest atoms and distances in Å follow each position.
Space group C2/m (No. 12)
Asymmetric unit:
1 Ac 0.0000 0.0000 0.0000 x2  2 Ho 3.47
2 Ac 0.9998 0.5000 0.1836 x4  2 Ho 3.51, 2 Pr 3.69, 5 Ac 3.71-3.92
3 Ac 0.2497 0.2499 0.3100 x8  2 Ho 3.63-3.64, 5 Ac 3.63-3.92, 2 Pr 3.75-3.76
4 Pr 0.0000 0.2475 0.5000 x4  2 Pr 3.60-3.67, 6 Ac 3.69-3.76
5 Ho 0.2307 0.5000 0.0003 x4  7 Ac 3.47-3.64, 2 Ho 3.67

* total magnetic moment: 0.0 μB per cell
* DFT total energy: -3.992 eV/atom
* energy relative to the elements: 0.32 eV/atom
* D(E_F): 40.5 states/eV/cell


[4]
AcPr5Ho5: optimized geometry, PBE.

Cell lengths 6.2269, 6.2269, 11.8783 Å; angles 90.00, 90.00, 120.00 degrees
Closest atoms and distances in Å follow each position.
Space group P-6m2 (No. 187)
Asymmetric unit:
1 Ac 0.0000 0.0000 0.0000 x1  5 Pr 3.60-3.88
2 Pr 0.0000 0.0000 0.3265 x2  9 Ho 3.67-3.73, 1 Ac 3.88
3 Pr 0.3333 0.6667 0.1592 x2  7 Pr 3.78-4.11, 3 Ho 3.81, 3 Ac 4.06
4 Pr 0.6667 0.3333 0.0000 x1  2 Ho 3.16
5 Ho 0.5009 0.0019 0.5000 x3  6 Ho 3.10-3.30
6 Ho 0.6667 0.3333 0.2663 x2  1 Pr 3.16, 3 Ho 3.30

* total magnetic moment: 0.0 μB per cell
* DFT total energy: -4.361 eV/atom
* energy relative to the elements: 0.27 eV/atom
* D(E_F): 22.5 states/eV/cell